The following is a DFT calculation (PBE with a Hubbard U) of crystalline La2FeF at its relaxed geometry.

a = 5.0586 Å, b = 5.0586 Å, c = 5.0586 Å
α = 60.00°, β = 60.00°, γ = 60.00°
Site moments in Bohr magnetons follow the coordinates.
Atoms (fractional coordinates):
F1 0.0000 0.0000 0.0000  -0.03
Fe1 0.5000 0.5000 0.5000  2.80
La1 0.2500 0.2500 0.2500  -0.55
La2 0.7500 0.7500 0.7500  -0.55

Density of states at the Fermi level: 2.9 states/eV per cell
Energy above the most stable polymorph in this dataset: 310.3 meV/atom
M_tot: 0.7 μB/f.u.